DFT (PBE-GGA) results for a geometry-optimized BaGe2IrPd structure.

Structure (POSCAR):
```
BaGe2IrPd
1.0
-2.118 2.118 6.223
2.118 -2.118 6.223
2.118 2.118 -6.223
Ba Ge Ir Pd
1 2 1 1
Direct
0.000 0.000 0.000 Ba
0.357 0.357 0.000 Ge
0.643 0.643 0.000 Ge
0.250 0.750 0.500 Ir
0.750 0.250 0.500 Pd
```

Output
SG: I-4m2 (119)
E_form in eV per atom: -0.595

---

DFT (PBE-GGA) results for a geometry-optimized BaGe2IrPt structure.

Structure (POSCAR):
```
BaGe2IrPt
1.0
-2.075 2.075 6.490
2.075 -2.075 6.490
2.075 2.075 -6.490
Ba Ge Ir Pt
1 2 1 1
Direct
0.000 0.000 0.000 Ba
0.358 0.358 0.000 Ge
0.642 0.642 0.000 Ge
0.750 0.250 0.500 Ir
0.250 0.750 0.500 Pt
```

Output
SG: I-4m2 (119)
E_form in eV per atom: -0.638